Entry 1:
Li3LaSe | PBE | optimized geometry

```
data_Li3LaSe
_chemical_formula_sum 'Li3 La1 Se1'
_space_group_name_H-M_alt 'P m -3 m'
_space_group_IT_number 221
_space_group_name_Hall '-P 4 2 3'
_cell_length_a 5.5581
_cell_length_b 5.5581
_cell_length_c 5.5581
_cell_angle_alpha 90.00
_cell_angle_beta 90.00
_cell_angle_gamma 90.00
loop_
_atom_site_label
_atom_site_type_symbol
_atom_site_fract_x
_atom_site_fract_y
_atom_site_fract_z
Li1 Li 0.0000 0.0000 0.5000
La1 La 0.0000 0.0000 0.0000
Se1 Se 0.5000 0.5000 0.5000
```

Output
D(E_F), states/eV/f.u.: 3.1
Energy above the lowest structure with this stoichiometry, eV per atom: 1.267
Formation energy without anion corrections, eV per atom: 0.96

***

Entry 2:
LiLa2Se | PBE | optimized geometry

```
data_LiLa2Se
_chemical_formula_sum 'Li1 La2 Se1'
_space_group_name_H-M_alt 'P 4 m m'
_space_group_IT_number 99
_cell_length_a 4.3676
_cell_length_b 4.3676
_cell_length_c 6.1736
_cell_angle_alpha 90.00
_cell_angle_beta 90.00
_cell_angle_gamma 90.00
loop_
_space_group_symop_operation_xyz
'x,y,z'
'-y,x,z'
'-x,-y,z'
'y,-x,z'
'-x,y,z'
'y,x,z'
'x,-y,z'
'-y,-x,z'
loop_
_atom_site_label
_atom_site_type_symbol
_atom_site_fract_x
_atom_site_fract_y
_atom_site_fract_z
Li1 Li 0.0000 0.0000 0.0000
La1 La 0.0000 0.0000 0.4998
La2 La 0.5000 0.5000 0.9992
Se1 Se 0.5000 0.5000 0.4991
```

Output
D(E_F), states/eV/f.u.: 5.3
Formation energy without anion corrections, eV per atom: -0.75

***

Entry 3:
LiLa2Se | PBE | optimized geometry

```
data_LiLa2Se
_chemical_formula_sum 'Li2 La4 Se2'
_space_group_name_H-M_alt 'C m m 2'
_space_group_IT_number 35
_cell_length_a 5.1304
_cell_length_b 5.2146
_cell_length_c 8.2456
_cell_angle_alpha 90.00
_cell_angle_beta 90.00
_cell_angle_gamma 90.00
loop_
_space_group_symop_operation_xyz
'x,y,z'
'-x,-y,z'
'-x,y,z'
'x,-y,z'
'x+1/2,y+1/2,z'
'-x+1/2,-y+1/2,z'
'-x+1/2,y+1/2,z'
'x+1/2,-y+1/2,z'
loop_
_atom_site_label
_atom_site_type_symbol
_atom_site_fract_x
_atom_site_fract_y
_atom_site_fract_z
Li1 Li 0.0000 0.0000 0.0000
La1 La 0.0000 0.0000 0.3682
La2 La 0.0000 0.5000 0.7244
Se1 Se 0.0000 0.5000 0.1190
```

Output
D(E_F), states/eV/f.u.: 2.9
Formation energy without anion corrections, eV per atom: -0.67

***

Entry 4:
Li3LaSe3 | PBE | optimized geometry

```
data_Li3LaSe3
_chemical_formula_sum 'Li18 La6 Se18'
_space_group_name_H-M_alt 'R -3'
_space_group_IT_number 148
_space_group_name_Hall '-R 3'
_cell_length_a 7.5022
_cell_length_b 7.5022
_cell_length_c 20.9753
_cell_angle_alpha 90.00
_cell_angle_beta 90.00
_cell_angle_gamma 120.00
loop_
_atom_site_label
_atom_site_type_symbol
_atom_site_fract_x
_atom_site_fract_y
_atom_site_fract_z
Li1 Li 0.0084 0.6967 0.1231
La1 La 0.0000 0.0000 0.3337
Se1 Se 0.0035 0.6443 0.9142
```

Output
D(E_F), states/eV/f.u.: 0.0
Formation energy without anion corrections, eV per atom: -1.52

***

Entry 5:
LiLa2Se4 | PBE | optimized geometry

```
data_LiLa2Se4
_chemical_formula_sum 'Li2 La4 Se8'
_space_group_name_H-M_alt 'I 4/m m m'
_space_group_IT_number 139
_space_group_name_Hall '-I 4 2'
_cell_length_a 4.6020
_cell_length_b 4.6020
_cell_length_c 16.3586
_cell_angle_alpha 90.00
_cell_angle_beta 90.00
_cell_angle_gamma 90.00
loop_
_atom_site_label
_atom_site_type_symbol
_atom_site_fract_x
_atom_site_fract_y
_atom_site_fract_z
Li1 Li 0.0000 0.0000 0.0000
La1 La 0.0000 0.0000 0.3633
Se1 Se 0.0000 0.0000 0.1811
Se2 Se 0.0000 0.5000 0.0000
```

Output
D(E_F), states/eV/f.u.: 3.7
Formation energy without anion corrections, eV per atom: -1.57

***

Entry 6:
LiLa2Se | PBE | optimized geometry

```
data_LiLa2Se
_chemical_formula_sum 'Li1 La2 Se1'
_space_group_name_H-M_alt 'P 1 m 1'
_space_group_IT_number 6
_cell_length_a 4.3972
_cell_length_b 4.1789
_cell_length_c 6.2323
_cell_angle_alpha 90.00
_cell_angle_beta 110.63
_cell_angle_gamma 90.00
loop_
_space_group_symop_operation_xyz
'x,y,z'
'x,-y,z'
loop_
_atom_site_label
_atom_site_type_symbol
_atom_site_fract_x
_atom_site_fract_y
_atom_site_fract_z
Li1 Li 0.0000 0.0000 0.0000
La1 La 0.2986 0.0000 0.5927
La2 La 0.5926 0.5000 0.1870
Se1 Se 0.8687 0.5000 0.7331
```

Output
D(E_F), states/eV/f.u.: 4.9
Formation energy without anion corrections, eV per atom: -0.84

***

Entry 7:
LiLaSe | PBE | optimized geometry

```
data_LiLaSe
_chemical_formula_sum 'Li4 La4 Se4'
_space_group_name_H-M_alt 'F -4 3 m'
_space_group_IT_number 216
_space_group_name_Hall 'F -4 2 3'
_cell_length_a 7.0809
_cell_length_b 7.0809
_cell_length_c 7.0809
_cell_angle_alpha 90.00
_cell_angle_beta 90.00
_cell_angle_gamma 90.00
loop_
_atom_site_label
_atom_site_type_symbol
_atom_site_fract_x
_atom_site_fract_y
_atom_site_fract_z
Li1 Li 0.0000 0.0000 0.0000
La1 La 0.2500 0.2500 0.7500
Se1 Se 0.0000 0.0000 0.5000
```

Output
D(E_F), states/eV/f.u.: 2.1
Energy above the lowest structure with this stoichiometry, eV per atom: 0.633
Formation energy without anion corrections, eV per atom: -0.58

***

Entry 8:
Li2La2Se | PBE | optimized geometry

```
data_Li2La2Se
_chemical_formula_sum 'Li4 La4 Se2'
_space_group_name_H-M_alt 'P 4/m b m'
_space_group_IT_number 127
_space_group_name_Hall '-P 4 2ab'
_cell_length_a 6.8589
_cell_length_b 6.8589
_cell_length_c 5.1124
_cell_angle_alpha 90.00
_cell_angle_beta 90.00
_cell_angle_gamma 90.00
loop_
_atom_site_label
_atom_site_type_symbol
_atom_site_fract_x
_atom_site_fract_y
_atom_site_fract_z
Li1 Li 0.1447 0.3553 0.0000
La1 La 0.1653 0.6653 0.5000
Se1 Se 0.0000 0.0000 0.0000
```

Output
D(E_F), states/eV/f.u.: 3.3
Energy above the lowest structure with this stoichiometry, eV per atom: 0.000
Formation energy without anion corrections, eV per atom: -0.47

***

Entry 9:
LiLa3Se4 | PBE | optimized geometry

```
data_LiLa3Se4
_chemical_formula_sum 'Li1 La3 Se4'
_space_group_name_H-M_alt 'P m -3 m'
_space_group_IT_number 221
_space_group_name_Hall '-P 4 2 3'
_cell_length_a 6.0471
_cell_length_b 6.0471
_cell_length_c 6.0471
_cell_angle_alpha 90.00
_cell_angle_beta 90.00
_cell_angle_gamma 90.00
loop_
_atom_site_label
_atom_site_type_symbol
_atom_site_fract_x
_atom_site_fract_y
_atom_site_fract_z
Li1 Li 0.0000 0.0000 0.0000
La1 La 0.0000 0.5000 0.5000
Se1 Se 0.0000 0.0000 0.5000
Se2 Se 0.5000 0.5000 0.5000
```

Output
D(E_F), states/eV/f.u.: 3.1
Energy above the lowest structure with this stoichiometry, eV per atom: 0.000
Formation energy without anion corrections, eV per atom: -1.88

***

Entry 10:
LiLa2Se | PBE | optimized geometry

```
data_LiLa2Se
_chemical_formula_sum 'Li2 La4 Se2'
_space_group_name_H-M_alt 'C m m m'
_space_group_IT_number 65
_space_group_name_Hall '-C 2 2'
_cell_length_a 6.9064
_cell_length_b 8.0758
_cell_length_c 3.7259
_cell_angle_alpha 90.00
_cell_angle_beta 90.00
_cell_angle_gamma 90.00
loop_
_atom_site_label
_atom_site_type_symbol
_atom_site_fract_x
_atom_site_fract_y
_atom_site_fract_z
Li1 Li 0.0000 0.0000 0.0000
La1 La 0.2500 0.2500 0.5000
Se1 Se 0.0000 0.5000 0.0000
```

Output
D(E_F), states/eV/f.u.: 2.9
Formation energy without anion corrections, eV per atom: -0.76

***

Entry 11:
Li3LaSe | PBE | optimized geometry

```
data_Li3LaSe
_chemical_formula_sum 'Li3 La1 Se1'
_space_group_name_H-M_alt 'P m -3 m'
_space_group_IT_number 221
_space_group_name_Hall '-P 4 2 3'
_cell_length_a 4.8962
_cell_length_b 4.8962
_cell_length_c 4.8962
_cell_angle_alpha 90.00
_cell_angle_beta 90.00
_cell_angle_gamma 90.00
loop_
_atom_site_label
_atom_site_type_symbol
_atom_site_fract_x
_atom_site_fract_y
_atom_site_fract_z
Li1 Li 0.0000 0.0000 0.5000
La1 La 0.5000 0.5000 0.5000
Se1 Se 0.0000 0.0000 0.0000
```

Output
D(E_F), states/eV/f.u.: 4.1
Energy above the lowest structure with this stoichiometry, eV per atom: 0.000
Formation energy without anion corrections, eV per atom: -0.31

***

Entry 12:
Li2LaSe2 | PBE | optimized geometry

```
data_Li2LaSe2
_chemical_formula_sum 'Li4 La2 Se4'
_space_group_name_H-M_alt 'I 4/m m m'
_space_group_IT_number 139
_space_group_name_Hall '-I 4 2'
_cell_length_a 3.8916
_cell_length_b 3.8916
_cell_length_c 13.4075
_cell_angle_alpha 90.00
_cell_angle_beta 90.00
_cell_angle_gamma 90.00
loop_
_atom_site_label
_atom_site_type_symbol
_atom_site_fract_x
_atom_site_fract_y
_atom_site_fract_z
Li1 Li 0.0000 0.5000 0.2500
La1 La 0.0000 0.0000 0.0000
Se1 Se 0.0000 0.0000 0.3729
```

Output
D(E_F), states/eV/f.u.: 1.9
Energy above the lowest structure with this stoichiometry, eV per atom: 0.000
Formation energy without anion corrections, eV per atom: -1.44

***

Which of these has the lowest D(E_F)? Li3LaSe3

***

Look up the formation energy without anion corrections of the first one. 0.96 eV per atom